A geometry-optimized BeAu2 structure, computed with PBE.

```
BeAu2
1.0
5.741 0.000 0.000
0.000 5.741 0.000
0.000 0.000 5.385
Be Au
4 8
Direct
0.000 0.000 0.250
0.000 0.000 0.750
0.500 0.500 0.250
0.500 0.500 0.750
0.176 0.324 0.000
0.176 0.676 0.500
0.324 0.176 0.500
0.324 0.824 0.000
0.676 0.176 0.000
0.676 0.824 0.500
0.824 0.324 0.500
0.824 0.676 0.000
```

Calculated values
The spin magnetization comes out at 0.0 μB per cell. The energy of formation is -0.38 eV/f.u. Its raw total energy is -42.65 eV per cell. The polymorph energy (0 for the lowest one) is 0.0 kJ/mol of atoms.